DFT (PBE) results for crystalline AcDy5Er6 at its relaxed geometry.

```
AcDy5Er6
1.0
3.085 -5.335 0.000
3.085 5.335 0.000
-2.047 0.000 11.598
Ac Dy Er
1 5 6
Cartesian
0.000 0.000 0.000 Ac
2.062 3.555 5.799 Dy
3.085 1.776 0.000 Dy
2.062 0.000 5.799 Dy
3.085 -1.776 0.000 Dy
2.062 -3.555 5.799 Dy
1.040 1.793 2.949 Er
0.024 0.000 8.646 Er
1.040 -1.793 2.949 Er
3.083 1.793 8.649 Er
4.099 0.000 2.952 Er
3.083 -1.793 8.649 Er
```

Properties
Its energy of formation from the pure elements is 3.42 kJ/mol of atoms. For the raw total energy, the calculation gives -4.506 eV/atom.

DFT (PBE) results for crystalline PmMgGaSn at its relaxed geometry.

```
PmMgGaSn
1.0
4.396 0.000 0.000
0.000 4.600 0.000
0.000 0.000 4.684
Pm Mg Ga Sn
1 1 1 1
Cartesian
0.000 0.000 0.000 Pm
0.000 2.300 2.342 Mg
2.198 2.300 0.000 Ga
2.198 0.000 2.342 Sn
```

Properties
Its offset from the most stable computed form is 0.00 eV per formula unit. Its energy of formation from the pure elements is -48.64 kJ/mol of atoms. For the raw total energy, the calculation gives -3.848 eV/atom.

DFT (PBE) results for crystalline NdY3 at its relaxed geometry.

```
NdY3
1.0
3.673 0.000 0.000
0.000 5.730 0.000
0.000 0.000 6.354
Nd Y
1 3
Cartesian
0.000 0.000 0.000 Nd
0.000 2.865 2.127 Y
1.837 0.000 3.190 Y
1.837 2.865 5.300 Y
```

Properties
Its offset from the most stable computed form is 0.02 eV per formula unit. Its energy of formation from the pure elements is 1.19 kJ/mol of atoms. For the raw total energy, the calculation gives -6.028 eV/atom.

DFT (PBE) results for crystalline K3DyF8 at its relaxed geometry.

```
K3DyF8
1.0
-3.012 3.012 6.104
3.012 -3.012 6.104
3.012 3.012 -6.104
K Dy F
3 1 8
Cartesian
0.000 0.000 0.000 K
3.012 0.000 3.052 K
0.000 3.012 3.052 K
0.000 0.000 6.104 Dy
1.704 1.704 -1.340 F
1.309 -1.309 4.763 F
1.704 1.704 1.340 F
1.309 -1.309 7.444 F
-1.309 1.309 4.763 F
1.309 1.309 4.763 F
-1.309 1.309 7.444 F
1.309 1.309 7.444 F
```

Properties
For the uncorrected formation energy, the calculation gives -2.767 eV per atom. For the raw total energy, the calculation gives -4.673 eV/atom.

DFT (PBE) results for crystalline CsPtS2N at its relaxed geometry.

```
CsPtS2N
1.0
5.617 0.000 0.000
0.000 5.617 0.000
0.000 0.000 4.430
Cs Pt S N
1 1 2 1
Cartesian
0.000 0.000 0.000 Cs
2.808 2.808 2.215 Pt
0.000 2.808 0.000 S
2.808 0.000 0.000 S
0.000 0.000 2.215 N
```

Properties
For the uncorrected formation energy, the calculation gives 2.468 eV per atom. For the raw total energy, the calculation gives -2.227 eV/atom.